Ti6Al16Os7 | meta-GGA SCAN | single point on PBEsol structure

Unit cell a=8.542 b=8.542 c=8.542 alpha=60.00 beta=60.00 gamma=60.00
Positions (direct):
Ti1 0.217 0.217 0.783
Ti2 0.217 0.783 0.217
Ti3 0.217 0.783 0.783
Ti4 0.783 0.217 0.217
Ti5 0.783 0.217 0.783
Ti6 0.783 0.783 0.217
Al1 0.138 0.621 0.621
Al2 0.156 0.156 0.156
Al3 0.156 0.156 0.532
Al4 0.156 0.532 0.156
Al5 0.379 0.379 0.379
Al6 0.379 0.379 0.862
Al7 0.379 0.862 0.379
Al8 0.468 0.844 0.844
Al9 0.532 0.156 0.156
Al10 0.621 0.138 0.621
Al11 0.621 0.621 0.138
Al12 0.621 0.621 0.621
Al13 0.844 0.468 0.844
Al14 0.844 0.844 0.468
Al15 0.844 0.844 0.844
Al16 0.862 0.379 0.379
Os1 0.000 0.000 0.500
Os2 0.000 0.500 0.000
Os3 0.000 0.500 0.500
Os4 0.500 0.000 0.000
Os5 0.500 0.000 0.500
Os6 0.500 0.500 0.000
Os7 0.500 0.500 0.500

Computed properties:
Space-group type: Fm-3m (225)

***

Tm3Al12Os4 | meta-GGA SCAN | single point on PBEsol structure

Unit cell a=8.712 b=8.712 c=9.475 alpha=90.00 beta=90.00 gamma=120.00
Positions (direct):
Tm1 0.194 0.388 0.250
Tm2 0.194 0.806 0.250
Tm3 0.388 0.194 0.750
Tm4 0.612 0.806 0.250
Tm5 0.806 0.194 0.750
Tm6 0.806 0.612 0.750
Al1 0.000 0.000 0.250
Al2 0.000 0.000 0.750
Al3 0.122 0.561 0.750
Al4 0.163 0.326 0.576
Al5 0.163 0.326 0.924
Al6 0.163 0.837 0.576
Al7 0.163 0.837 0.924
Al8 0.326 0.163 0.076
Al9 0.326 0.163 0.424
Al10 0.333 0.667 0.020
Al11 0.333 0.667 0.480
Al12 0.439 0.561 0.750
Al13 0.439 0.878 0.750
Al14 0.561 0.122 0.250
Al15 0.561 0.439 0.250
Al16 0.667 0.333 0.520
Al17 0.667 0.333 0.980
Al18 0.674 0.837 0.576
Al19 0.674 0.837 0.924
Al20 0.837 0.163 0.076
Al21 0.837 0.163 0.424
Al22 0.837 0.674 0.076
Al23 0.837 0.674 0.424
Al24 0.878 0.439 0.250
Os1 0.000 0.000 0.000
Os2 0.000 0.000 0.500
Os3 0.000 0.500 0.000
Os4 0.000 0.500 0.500
Os5 0.500 0.000 0.000
Os6 0.500 0.000 0.500
Os7 0.500 0.500 0.000
Os8 0.500 0.500 0.500

Computed properties:
Space-group type: P6_3/mmc (194)

***

AlOsW | meta-GGA SCAN | single point on PBEsol structure

Unit cell a=2.952 b=2.952 c=9.841 alpha=90.00 beta=90.00 gamma=90.00
Positions (direct):
Al1 0.000 0.000 0.000
Al2 0.500 0.500 0.500
Os1 0.000 0.000 0.657
Os2 0.500 0.500 0.157
W1 0.000 0.000 0.323
W2 0.500 0.500 0.823

Computed properties:
Space-group type: I4mm (107)

***

YAlOs2 | meta-GGA SCAN | single point on PBEsol structure

Unit cell a=2.998 b=2.998 c=25.207 alpha=90.00 beta=90.00 gamma=120.00
Positions (direct):
Y1 0.000 0.000 0.000
Y2 0.333 0.667 0.667
Y3 0.667 0.333 0.333
Al1 0.000 0.000 0.500
Al2 0.333 0.667 0.167
Al3 0.667 0.333 0.833
Os1 0.000 0.000 0.242
Os2 0.000 0.000 0.758
Os3 0.333 0.667 0.424
Os4 0.333 0.667 0.909
Os5 0.667 0.333 0.091
Os6 0.667 0.333 0.576

Computed properties:
Space-group type: R-3m (166)

***

YAlOs | meta-GGA SCAN | single point on PBEsol structure

Unit cell a=4.321 b=4.321 c=3.543 alpha=90.00 beta=90.00 gamma=120.00
Positions (direct):
Y1 0.000 0.000 0.000
Al1 0.333 0.667 0.500
Os1 0.667 0.333 0.500

Computed properties:
Space-group type: P-6m2 (187)

***

AlZn3Os | meta-GGA SCAN | single point on PBEsol structure

Unit cell a=4.735 b=4.735 c=4.735 alpha=90.00 beta=90.00 gamma=90.00
Positions (direct):
Al1 0.000 0.000 0.000
Zn1 0.000 0.500 0.500
Zn2 0.500 0.000 0.500
Zn3 0.500 0.500 0.000
Os1 0.500 0.500 0.500

Computed properties:
Space-group type: Pm-3m (221)

***

AlZnOs | meta-GGA SCAN | single point on PBEsol structure

Unit cell a=2.888 b=4.669 c=12.797 alpha=90.00 beta=90.00 gamma=90.00
Positions (direct):
Al1 0.000 0.000 0.000
Al2 0.000 0.500 0.500
Al3 0.500 0.000 0.500
Al4 0.500 0.500 0.000
Zn1 0.000 0.000 0.674
Zn2 0.000 0.500 0.174
Zn3 0.500 0.000 0.174
Zn4 0.500 0.500 0.674
Os1 0.000 0.000 0.342
Os2 0.000 0.500 0.842
Os3 0.500 0.000 0.842
Os4 0.500 0.500 0.342

Computed properties:
Space-group type: Fmm2 (42)

***

ZrAlZn2Os | meta-GGA SCAN | single point on PBEsol structure

Unit cell a=4.405 b=4.405 c=4.549 alpha=90.00 beta=90.00 gamma=90.00
Positions (direct):
Zr1 0.000 0.000 0.000
Al1 0.500 0.500 0.500
Zn1 0.000 0.500 0.500
Zn2 0.500 0.000 0.500
Os1 0.500 0.500 0.000

Computed properties:
Space-group type: P4/mmm (123)

***

Number 1: energy relative to the elements -0.603 eV per atom. Number 2: energy relative to the elements -0.708 eV per atom. Number 3: energy relative to the elements -0.321 eV per atom. Number 4: energy relative to the elements 0.127 eV per atom. Number 5: energy relative to the elements -0.430 eV per atom. Number 6: energy relative to the elements 0.810 eV per atom. Number 7: energy relative to the elements 0.099 eV per atom. Number 8: energy relative to the elements 0.539 eV per atom.